[1]
First-principles (PBE) data for a relaxed PmYTc crystal, as listed in Alexandria.

Values from the calculation:
energy of formation: 0.039 eV per atom

a b c (Å): 3.5068 3.5068 6.8576
angles (deg): 104.81 104.81 90.00
Atoms (fractional coordinates):
Pm: 0.2967 0.2967 0.5933
Tc: 0.6651 0.6651 0.3301
Y: 0.0383 0.0383 0.0766

***

[2]
First-principles (PBE) data for a relaxed Tb2Pr3In2 crystal, as listed in Alexandria.

Values from the calculation:
offset from the most stable computed form: 0.035 eV/atom
energy of formation: -0.132 eV per atom

a b c (Å): 3.5575 8.0938 8.7941
angles (deg): 117.65 101.67 90.00
Atoms (fractional coordinates):
Pr: 0.0000 0.5000 0.0000
Pr: 0.7895 0.2139 0.5790
Pr: 0.2105 0.7861 0.4210
Tb: 0.8738 0.7185 0.7475
Tb: 0.1262 0.2815 0.2525
In: 0.4327 0.1001 0.8654
In: 0.5673 0.8999 0.1346

***

[3]
First-principles (PBE) data for a relaxed NaB2Ir2 crystal, as listed in Alexandria.

Values from the calculation:
offset from the most stable computed form: 0.000 eV/atom
energy of formation: -0.308 eV per atom

a b c (Å): 6.0920 5.4978 6.0791
angles (deg): 73.66 59.47 56.35
Atoms (fractional coordinates):
B: 0.4455 0.6090 0.7500
B: 0.1932 0.1136 0.2500
B: 0.5545 0.3910 0.2500
B: 0.8068 0.8864 0.7500
Ir: 0.4953 0.2487 0.0142
Ir: 0.2440 0.7513 0.5142
Ir: 0.5047 0.7513 0.9858
Ir: 0.7560 0.2487 0.4858
Na: 0.1246 0.2509 0.7500
Na: 0.8754 0.7491 0.2500

***

What did the second record say?
First-principles (PBE) data for a relaxed Tb2Pr3In2 crystal, as listed in Alexandria.

Values from the calculation:
offset from the most stable computed form: 0.035 eV/atom
energy of formation: -0.132 eV per atom

a b c (Å): 3.5575 8.0938 8.7941
angles (deg): 117.65 101.67 90.00
Atoms (fractional coordinates):
Pr: 0.0000 0.5000 0.0000
Pr: 0.7895 0.2139 0.5790
Pr: 0.2105 0.7861 0.4210
Tb: 0.8738 0.7185 0.7475
Tb: 0.1262 0.2815 0.2525
In: 0.4327 0.1001 0.8654
In: 0.5673 0.8999 0.1346

***

Question: What is the energy of formation in the first record?
Answer: 0.039 eV per atom

***

Question: Which of these has the highest energy of formation?
Answer: PmYTc

***

Question: The lowest energy of formation belongs to which entry?
Answer: NaB2Ir2